Below is a geometry-optimized TiW2I structure, with properties calculated at the PBE level.

Lattice parameters (Å, degrees): 4.6168 4.6168 4.6168 60.00 60.00 60.00
Positions (direct):
Ti  0.0000  0.0000  0.0000
I  0.5000  0.5000  0.5000
W  0.2500  0.2500  0.2500
W  0.7500  0.7500  0.7500

Computed properties:
- polymorph energy (0 for the lowest one) (kJ per mole of atoms) = 0.0
- energy relative to the elements, uncorrected (eV per atom) = 0.986